No. 1
Entry from Alexandria: an optimized crystal structure of CdBPd2Au (PBE-GGA).

Computed properties:
symmetry	No. 123
energy of formation from the pure elements	-0.73	eV/f.u.

Cell lengths 4.2531, 4.2531, 4.3487 Å; angles 90.00, 90.00, 90.00 degrees
Last column: nearest neighbours and their distance in Å.
Sites, in units of the cell vectors:
Cd (0.0000, 0.0000, 0.0000)  4 Au 3.01, 8 Pd 3.04
B (0.5000, 0.5000, 0.5000)  4 Pd 2.13, 2 Au 2.17
Pd (0.0000, 0.5000, 0.5000)  2 B 2.13
Pd (0.5000, 0.0000, 0.5000)  2 B 2.13
Au (0.5000, 0.5000, 0.0000)  2 B 2.17

No. 2
Entry from Alexandria: an optimized crystal structure of Ce2NdLu (PBE-GGA).

Computed properties:
symmetry	No. 166
energy of formation from the pure elements	0.99	eV/f.u.

Cell lengths 12.5802, 12.5802, 12.5802 Å; angles 15.29, 15.29, 15.29 degrees
Last column: nearest neighbours and their distance in Å.
Sites, in units of the cell vectors:
Ce (0.0837, 0.0837, 0.0837)  1 Lu 3.12, 6 Ce 3.35
Ce (0.9163, 0.9163, 0.9163)  1 Lu 3.12, 6 Ce 3.35
Nd (0.5000, 0.5000, 0.5000)  6 Nd 3.35, 6 Ce 3.65
Lu (0.0000, 0.0000, 0.0000)  2 Ce 3.12, 6 Lu 3.35

No. 3
Entry from Alexandria: an optimized crystal structure of KAg4S2 (PBE-GGA).

Computed properties:
symmetry	No. 136
VASP energy	-45.103	eV per cell

Cell lengths 8.3415, 8.3415, 4.1742 Å; angles 90.00, 90.00, 90.00 degrees
Last column: nearest neighbours and their distance in Å.
Sites, in units of the cell vectors:
K (0.0000, 0.0000, 0.0000)  6 S 3.28-3.36, 8 Ag 3.62
K (0.5000, 0.5000, 0.5000)  6 S 3.28-3.36, 8 Ag 3.62
Ag (0.0848, 0.3442, 0.5000)  3 S 2.72, 5 Ag 2.96
Ag (0.1558, 0.5848, 0.0000)  3 S 2.72, 5 Ag 2.96
Ag (0.3442, 0.0848, 0.5000)  3 S 2.72, 5 Ag 2.96
Ag (0.4152, 0.8442, 0.0000)  3 S 2.72, 5 Ag 2.96
Ag (0.5848, 0.1558, 0.0000)  3 S 2.72, 5 Ag 2.96
Ag (0.6558, 0.9152, 0.5000)  3 S 2.72, 5 Ag 2.96
Ag (0.8442, 0.4152, 0.0000)  3 S 2.72, 5 Ag 2.96
Ag (0.9152, 0.6558, 0.5000)  3 S 2.72, 5 Ag 2.96
S (0.2150, 0.7850, 0.5000)  6 Ag 2.72
S (0.2850, 0.2850, 0.0000)  6 Ag 2.72
S (0.7150, 0.7150, 0.0000)  6 Ag 2.72
S (0.7850, 0.2150, 0.5000)  6 Ag 2.72

No. 4
Entry from Alexandria: an optimized crystal structure of Sc3TiCr (PBE-GGA).

Computed properties:
symmetry	No. 221
energy of formation from the pure elements	6.25	eV/f.u.

Cell lengths 4.8410, 4.8410, 4.8410 Å; angles 90.00, 90.00, 90.00 degrees
Last column: nearest neighbours and their distance in Å.
Sites, in units of the cell vectors:
Sc (0.0000, 0.0000, 0.5000)  2 Ti 2.42
Sc (0.0000, 0.5000, 0.0000)  2 Ti 2.42
Sc (0.5000, 0.0000, 0.0000)  2 Ti 2.42
Ti (0.0000, 0.0000, 0.0000)  6 Sc 2.42
Cr (0.5000, 0.5000, 0.5000)  12 Sc 3.42

Please write out number 1 again, unchanged.
Entry from Alexandria: an optimized crystal structure of CdBPd2Au (PBE-GGA).

Computed properties:
symmetry	No. 123
energy of formation from the pure elements	-0.73	eV/f.u.

Cell lengths 4.2531, 4.2531, 4.3487 Å; angles 90.00, 90.00, 90.00 degrees
Last column: nearest neighbours and their distance in Å.
Sites, in units of the cell vectors:
Cd (0.0000, 0.0000, 0.0000)  4 Au 3.01, 8 Pd 3.04
B (0.5000, 0.5000, 0.5000)  4 Pd 2.13, 2 Au 2.17
Pd (0.0000, 0.5000, 0.5000)  2 B 2.13
Pd (0.5000, 0.0000, 0.5000)  2 B 2.13
Au (0.5000, 0.5000, 0.0000)  2 B 2.17

Number 1 is which compound? CdBPd2Au